1.
# RbGaSn, optimized geometry, DFT PBE
data_RbGaSn
_chemical_formula_sum 'Rb2 Ga2 Sn2'
_cell_length_a 7.295
_cell_length_b 7.295
_cell_length_c 5.753
_cell_angle_alpha 90.00
_cell_angle_beta 90.00
_cell_angle_gamma 137.85
_space_group_name_H-M_alt 'P 1'
_space_group_IT_number 1
_space_group_name_Hall 'P 1'
loop_
_atom_site_label
_atom_site_fract_x
_atom_site_fract_y
_atom_site_fract_z
Sn1 0.448 0.552 0.250
Sn2 0.552 0.448 0.750
Ga1 0.000 0.000 0.500
Ga2 0.000 0.000 0.000
Rb1 0.274 0.726 0.750
Rb2 0.726 0.274 0.250
# - mass density (g cm⁻³) = 4.43
# - space-group type = Cmcm (63)
# - VASP energy (eV/cell) = -16.296
# - crystal system = orthorhombic
# - ΔH_f (0 K) (eV/atom) = -0.0503

=====

2.
# TcSb4Pt, optimized geometry, DFT PBE
data_TcSb4Pt
_chemical_formula_sum 'Tc2 Sb8 Pt2'
_cell_length_a 6.583
_cell_length_b 6.530
_cell_length_c 6.573
_cell_angle_alpha 90.00
_cell_angle_beta 90.51
_cell_angle_gamma 90.00
_space_group_name_H-M_alt 'P 1'
_space_group_IT_number 1
_space_group_name_Hall 'P 1'
loop_
_atom_site_label
_atom_site_fract_x
_atom_site_fract_y
_atom_site_fract_z
Sb1 0.361 0.365 0.380
Sb2 0.124 0.375 0.868
Sb3 0.376 0.875 0.132
Sb4 0.139 0.865 0.620
Sb5 0.639 0.635 0.620
Sb6 0.624 0.125 0.868
Sb7 0.876 0.625 0.132
Sb8 0.861 0.135 0.380
Pt1 0.500 0.500 0.000
Pt2 0.000 0.000 0.000
Tc1 0.000 0.500 0.500
Tc2 0.500 0.000 0.500
# - mass density (g cm⁻³) = 9.17
# - space-group type = P2_1/c (14)
# - energy relative to the elements, uncorrected (eV per atom) = -0.091
# - VASP energy (eV/cell) = -66.889
# - crystal system = monoclinic
# - excess energy over the best structure of this formula in the dataset (meV per atom) = 0

=====

3.
# Cu2NiIr, optimized geometry, DFT PBE
data_Cu2NiIr
_chemical_formula_sum 'Cu2 Ni1 Ir1'
_cell_length_a 4.462
_cell_length_b 4.462
_cell_length_c 4.462
_cell_angle_alpha 130.82
_cell_angle_beta 130.82
_cell_angle_gamma 72.10
_space_group_name_H-M_alt 'P 1'
_space_group_IT_number 1
_space_group_name_Hall 'P 1'
loop_
_atom_site_label
_atom_site_fract_x
_atom_site_fract_y
_atom_site_fract_z
Ni1 0.750 0.250 0.500
Cu1 0.000 0.000 0.000
Cu2 0.250 0.750 0.500
Ir1 0.500 0.500 0.000
# - mass density (g cm⁻³) = 12.62
# - space-group type = I-4m2 (119)
# - VASP energy (eV/cell) = -22.354
# - crystal system = tetragonal
# - ΔH_f (0 K) (eV/atom) = 0.1202
# - excess energy over the best structure of this formula in the dataset (meV per atom) = 68

=====

4.
# BaNbC2, optimized geometry, DFT PBE
data_BaNbC2
_chemical_formula_sum 'Ba2 Nb2 C4'
_cell_length_a 6.147
_cell_length_b 6.147
_cell_length_c 6.162
_cell_angle_alpha 60.08
_cell_angle_beta 60.08
_cell_angle_gamma 90.00
_space_group_name_H-M_alt 'P 1'
_space_group_IT_number 1
_space_group_name_Hall 'P 1'
loop_
_atom_site_label
_atom_site_fract_x
_atom_site_fract_y
_atom_site_fract_z
C1 0.506 0.125 0.250
C2 0.875 0.756 0.750
C3 0.244 0.625 0.250
C4 0.375 0.494 0.750
Nb1 0.500 0.500 0.000
Nb2 0.250 0.750 0.500
Ba1 0.000 0.000 0.000
Ba2 0.750 0.250 0.500
# - mass density (g cm⁻³) = 5.12
# - space-group type = I-42d (122)
# - VASP energy (eV/cell) = -57.947
# - crystal system = tetragonal
# - ΔH_f (0 K) (eV/atom) = 0.3667
# - excess energy over the best structure of this formula in the dataset (meV per atom) = 0

=====

> Which of these has the lowest mass density?

RbGaSn